i | A relaxed structure of FeBW3. Source: the Alexandria database, functional PBE-GGA.

Lattice parameters (Å, degrees): 4.4021 4.4021 4.4021 90.00 90.00 90.00
Last column: nearest neighbours and their distance in Å.
Sites, in units of the cell vectors:
B  0.5000  0.5000  0.5000  12 W 3.11
Fe  0.0000  0.0000  0.0000  6 W 2.20
W  0.0000  0.5000  0.0000  2 Fe 2.20
W  0.0000  0.0000  0.5000  2 Fe 2.20
W  0.5000  0.0000  0.0000  2 Fe 2.20



ii | A relaxed structure of FeBW3. Source: the Alexandria database, functional PBE-GGA.

Lattice parameters (Å, degrees): 4.1358 4.1358 4.1358 90.00 90.00 90.00
Last column: nearest neighbours and their distance in Å.
Sites, in units of the cell vectors:
B  0.0000  0.0000  0.0000  6 W 2.07
Fe  0.5000  0.5000  0.5000  12 W 2.92
W  0.0000  0.5000  0.0000  2 B 2.07
W  0.0000  0.0000  0.5000  2 B 2.07
W  0.5000  0.0000  0.0000  2 B 2.07



Most stable: ii (next structure +157.9 kJ/mol of atoms)



i | A relaxed structure of FeB2W. Source: the Alexandria database, functional PBE-GGA.

Lattice parameters (Å, degrees): 3.0355 6.0310 8.1289 90.00 90.00 90.00
Last column: nearest neighbours and their distance in Å.
Sites, in units of the cell vectors:
Fe  0.2500  0.4904  0.1156  5 B 2.00-2.19
Fe  0.2500  0.9904  0.3844  5 B 2.00-2.19
Fe  0.7500  0.5096  0.8844  5 B 2.00-2.19
Fe  0.7500  0.0096  0.6156  5 B 2.00-2.19
B  0.7500  0.8366  0.8258  2 B 1.80, 1 Fe 2.00
B  0.2500  0.1634  0.1742  2 B 1.80, 1 Fe 2.00
B  0.7500  0.3366  0.6742  2 B 1.80, 1 Fe 2.00
B  0.2500  0.6634  0.3258  2 B 1.80, 1 Fe 2.00
B  0.7500  0.7596  0.4207  2 B 1.80
B  0.2500  0.7404  0.9207  2 B 1.80
B  0.7500  0.2596  0.0793  2 B 1.80
B  0.2500  0.2404  0.5793  2 B 1.80
W  0.7500  0.8688  0.1245  9 B 2.37-2.55
W  0.2500  0.1312  0.8755  9 B 2.37-2.55
W  0.7500  0.3688  0.3755  9 B 2.37-2.55
W  0.2500  0.6312  0.6245  9 B 2.37-2.55



ii | A relaxed structure of FeB2W. Source: the Alexandria database, functional PBE-GGA.

Lattice parameters (Å, degrees): 3.0946 3.0048 4.3404 90.00 110.90 90.00
Last column: nearest neighbours and their distance in Å.
Sites, in units of the cell vectors:
Fe  0.7194  0.0000  0.9783  7 B 2.21-2.47
B  0.1514  0.5000  0.8416  2 B 1.82
B  0.0247  0.0000  0.5884  2 B 1.82
W  0.4355  0.5000  0.4097  7 B 2.27-2.34



iii | A relaxed structure of FeB2W. Source: the Alexandria database, functional PBE-GGA.

Lattice parameters (Å, degrees): 3.7739 3.7739 3.7739 60.00 60.00 60.00
Last column: nearest neighbours and their distance in Å.
Sites, in units of the cell vectors:
B  0.2500  0.2500  0.2500  4 Fe 2.31, 4 W 2.31
B  0.7500  0.7500  0.7500  4 Fe 2.31, 4 W 2.31
Fe  0.0000  0.0000  0.0000  8 B 2.31
W  0.5000  0.5000  0.5000  8 B 2.31



Most stable: ii (next structure +0.9 kJ/mol of atoms)



i | A relaxed structure of YFeB3. Source: the Alexandria database, functional PBE-GGA.

Lattice parameters (Å, degrees): 4.4242 4.4242 4.4242 90.00 90.00 90.00
Last column: nearest neighbours and their distance in Å.
Sites, in units of the cell vectors:
Y  0.0000  0.0000  0.0000  6 B 2.21
B  0.0000  0.5000  0.0000  2 Y 2.21
B  0.0000  0.0000  0.5000  2 Y 2.21
B  0.5000  0.0000  0.0000  2 Y 2.21
Fe  0.5000  0.5000  0.5000  12 B 3.13



ii | A relaxed structure of YFeB3. Source: the Alexandria database, functional PBE-GGA.

Lattice parameters (Å, degrees): 3.8423 3.8423 3.8423 90.00 90.00 90.00
Last column: nearest neighbours and their distance in Å.
Sites, in units of the cell vectors:
Y  0.5000  0.5000  0.5000  12 B 2.72
B  0.0000  0.5000  0.0000  2 Fe 1.92
B  0.0000  0.0000  0.5000  2 Fe 1.92
B  0.5000  0.0000  0.0000  2 Fe 1.92
Fe  0.0000  0.0000  0.0000  6 B 1.92



iii | A relaxed structure of YFeB3. Source: the Alexandria database, functional PBE-GGA.

Lattice parameters (Å, degrees): 3.1231 4.7226 7.3702 90.00 102.23 90.00
Last column: nearest neighbours and their distance in Å.
Sites, in units of the cell vectors:
Y  0.9142  0.7500  0.8283  6 B 2.62-2.77, 4 Fe 2.83
Y  0.0858  0.2500  0.1717  6 B 2.62-2.77, 4 Fe 2.83
Fe  0.5923  0.7500  0.1846  4 B 2.07-2.21
Fe  0.4077  0.2500  0.8154  4 B 2.07-2.21
B  0.7137  0.0351  0.4274  3 B 1.76-1.91
B  0.2863  0.9649  0.5726  3 B 1.76-1.91
B  0.2863  0.5351  0.5726  3 B 1.76-1.91
B  0.7137  0.4649  0.4274  3 B 1.76-1.91
B  0.1868  0.7500  0.3736  2 B 1.76
B  0.8132  0.2500  0.6264  2 B 1.76



Most stable: ii (next structure +0.5 kJ/mol of atoms)



i | A relaxed structure of Zn2Fe2B. Source: the Alexandria database, functional PBE-GGA.

Lattice parameters (Å, degrees): 5.2827 5.2827 4.1210 90.00 90.00 90.00
Last column: nearest neighbours and their distance in Å.
Sites, in units of the cell vectors:
Zn  0.1642  0.6642  0.5000  1 Zn 2.45, 6 Fe 2.46-2.66
Zn  0.6642  0.8358  0.5000  1 Zn 2.45, 6 Fe 2.46-2.66
Zn  0.8358  0.3358  0.5000  1 Zn 2.45, 6 Fe 2.46-2.66
Zn  0.3358  0.1642  0.5000  1 Zn 2.45, 6 Fe 2.46-2.66
B  0.0000  0.0000  0.0000  4 Fe 2.00
B  0.5000  0.5000  0.0000  4 Fe 2.00
Fe  0.3448  0.8448  0.0000  2 B 2.00
Fe  0.8448  0.6552  0.0000  2 B 2.00
Fe  0.6552  0.1552  0.0000  2 B 2.00
Fe  0.1552  0.3448  0.0000  2 B 2.00



ii | A relaxed structure of Zn2Fe2B. Source: the Alexandria database, functional PBE-GGA.

Lattice parameters (Å, degrees): 3.1539 3.1539 6.8318 76.65 76.65 90.00
Last column: nearest neighbours and their distance in Å.
Sites, in units of the cell vectors:
Zn  0.7500  0.2500  0.5000  4 Zn 2.23
Zn  0.2500  0.7500  0.5000  4 Zn 2.23
B  0.0000  0.0000  0.0000  8 Fe 2.47
Fe  0.4173  0.4173  0.1654  1 Fe 2.14
Fe  0.5827  0.5827  0.8346  1 Fe 2.14



Most stable: i (next structure +74.3 kJ/mol of atoms)



i | A relaxed structure of GaB. Source: the Alexandria database, functional PBE-GGA.

Lattice parameters (Å, degrees): 8.2565 3.4736 5.5981 90.00 90.00 90.00
Last column: nearest neighbours and their distance in Å.
Sites, in units of the cell vectors:
Ga  0.8426  0.0000  0.1908  3 B 2.17-2.31
Ga  0.1574  0.0000  0.1908  3 B 2.17-2.31
Ga  0.3426  0.5000  0.6908  3 B 2.17-2.31
Ga  0.6574  0.5000  0.6908  3 B 2.17-2.31
Ga  0.0000  0.5000  0.8411  2 B 2.27
Ga  0.5000  0.0000  0.3411  2 B 2.27
B  0.8030  0.0000  0.5989  1 B 1.63
B  0.1970  0.0000  0.5989  1 B 1.63
B  0.3030  0.5000  0.0989  1 B 1.63
B  0.6970  0.5000  0.0989  1 B 1.63
B  0.0000  0.0000  0.5814  2 B 1.63
B  0.5000  0.5000  0.0814  2 B 1.63



ii | A relaxed structure of GaB. Source: the Alexandria database, functional PBE-GGA.

Lattice parameters (Å, degrees): 3.0976 3.1021 5.9849 90.01 105.01 120.04
Last column: nearest neighbours and their distance in Å.
Sites, in units of the cell vectors:
B  0.1713  0.3357  0.0070  3 B 1.79
B  0.8287  0.6643  0.9930  3 B 1.79
Ga  0.7023  0.1023  0.3051  6 B 2.47-2.53
Ga  0.2977  0.8977  0.6949  6 B 2.47-2.53



iii | A relaxed structure of GaB. Source: the Alexandria database, functional PBE-GGA.

Lattice parameters (Å, degrees): 8.4577 8.7834 6.3128 90.00 90.00 90.00
Last column: nearest neighbours and their distance in Å.
Sites, in units of the cell vectors:
Ga  0.2558  0.0000  0.0000  4 B 2.09-2.32
Ga  0.7442  0.0000  0.0000  4 B 2.09-2.32
Ga  0.9942  0.7500  0.2500  4 B 2.09-2.32
Ga  0.5058  0.7500  0.2500  4 B 2.09-2.32
Ga  0.2558  0.5000  0.5000  4 B 2.09-2.32
Ga  0.7442  0.5000  0.5000  4 B 2.09-2.32
Ga  0.9942  0.2500  0.7500  4 B 2.09-2.32
Ga  0.5058  0.2500  0.7500  4 B 2.09-2.32
Ga  0.7558  0.0000  0.5000  4 B 2.09-2.32
Ga  0.2442  0.0000  0.5000  4 B 2.09-2.32
Ga  0.4942  0.7500  0.7500  4 B 2.09-2.32
Ga  0.0058  0.7500  0.7500  4 B 2.09-2.32
Ga  0.7558  0.5000  0.0000  4 B 2.09-2.32
Ga  0.2442  0.5000  0.0000  4 B 2.09-2.32
Ga  0.4942  0.2500  0.2500  4 B 2.09-2.32
Ga  0.0058  0.2500  0.2500  4 B 2.09-2.32
B  0.0000  0.9053  0.0000  1 B 1.66
B  0.0000  0.0947  0.0000  1 B 1.66
B  0.2500  0.8447  0.2500  1 B 1.66
B  0.2500  0.6553  0.2500  1 B 1.66
B  0.0000  0.4053  0.5000  1 B 1.66
B  0.0000  0.5947  0.5000  1 B 1.66
B  0.2500  0.3447  0.7500  1 B 1.66
B  0.2500  0.1553  0.7500  1 B 1.66
B  0.5000  0.9053  0.5000  1 B 1.66
B  0.5000  0.0947  0.5000  1 B 1.66
B  0.7500  0.8447  0.7500  1 B 1.66
B  0.7500  0.6553  0.7500  1 B 1.66
B  0.5000  0.4053  0.0000  1 B 1.66
B  0.5000  0.5947  0.0000  1 B 1.66
B  0.7500  0.3447  0.2500  1 B 1.66
B  0.7500  0.1553  0.2500  1 B 1.66



iv | A relaxed structure of GaB. Source: the Alexandria database, functional PBE-GGA.

Lattice parameters (Å, degrees): 8.5844 8.5844 3.0737 90.00 90.00 90.00
Last column: nearest neighbours and their distance in Å.
Sites, in units of the cell vectors:
Ga  0.4637  0.2428  0.0000  4 B 2.07-2.24
Ga  0.5363  0.7572  0.0000  4 B 2.07-2.24
Ga  0.7572  0.4637  0.0000  4 B 2.07-2.24
Ga  0.2428  0.5363  0.0000  4 B 2.07-2.24
Ga  0.9637  0.7428  0.5000  4 B 2.07-2.24
Ga  0.0363  0.2572  0.5000  4 B 2.07-2.24
Ga  0.2572  0.9637  0.5000  4 B 2.07-2.24
Ga  0.7428  0.0363  0.5000  4 B 2.07-2.24
B  0.2957  0.7778  0.0000  2 B 1.79
B  0.7043  0.2222  0.0000  2 B 1.79
B  0.2222  0.2957  0.0000  2 B 1.79
B  0.7778  0.7043  0.0000  2 B 1.79
B  0.7957  0.2778  0.5000  2 B 1.79
B  0.2043  0.7222  0.5000  2 B 1.79
B  0.7222  0.7957  0.5000  2 B 1.79
B  0.2778  0.2043  0.5000  2 B 1.79



Most stable: ii (next structure +7.7 kJ/mol of atoms)



i | A relaxed structure of GaB. Source: the Alexandria database, functional PBE-GGA.

Lattice parameters (Å, degrees): 6.4829 3.0845 5.3092 90.00 111.67 90.00
Last column: nearest neighbours and their distance in Å.
Sites, in units of the cell vectors:
B  0.9993  0.0000  0.3339  3 B 1.76-1.78
B  0.0007  0.0000  0.6661  3 B 1.76-1.78
B  0.9993  0.5000  0.8339  3 B 1.76-1.78
B  0.0007  0.5000  0.1661  3 B 1.76-1.78
Ga  0.2959  0.0000  0.1451  6 B 2.47-2.56
Ga  0.7041  0.0000  0.8549  6 B 2.47-2.56
Ga  0.2959  0.5000  0.6451  6 B 2.47-2.56
Ga  0.7041  0.5000  0.3549  6 B 2.47-2.56



ii | A relaxed structure of GaB. Source: the Alexandria database, functional PBE-GGA.

Lattice parameters (Å, degrees): 6.4045 5.6969 6.9476 90.00 90.00 90.00
Last column: nearest neighbours and their distance in Å.
Sites, in units of the cell vectors:
Ga  0.6507  0.0936  0.0970  4 B 2.07-2.30
Ga  0.1507  0.4064  0.9030  4 B 2.07-2.30
Ga  0.3493  0.5936  0.4030  4 B 2.07-2.30
Ga  0.8493  0.9064  0.5970  4 B 2.07-2.30
Ga  0.3771  0.0238  0.8057  4 B 2.13-2.29
Ga  0.8771  0.4762  0.1943  4 B 2.13-2.29
Ga  0.6229  0.5238  0.6943  4 B 2.13-2.29
Ga  0.1229  0.9762  0.3057  4 B 2.13-2.29
B  0.3269  0.1755  0.1068  1 B 1.60
B  0.8269  0.3245  0.8932  1 B 1.60
B  0.6731  0.6755  0.3932  1 B 1.60
B  0.1731  0.8245  0.6068  1 B 1.60
B  0.3101  0.6425  0.7298  1 B 1.60
B  0.8101  0.8575  0.2702  1 B 1.60
B  0.6899  0.1425  0.7702  1 B 1.60
B  0.1899  0.3575  0.2298  1 B 1.60



Most stable: i (next structure +21.7 kJ/mol of atoms)



i | A relaxed structure of GaGeB. Source: the Alexandria database, functional PBE-GGA.

Lattice parameters (Å, degrees): 5.6129 3.0658 5.8156 90.00 112.14 90.00
Last column: nearest neighbours and their distance in Å.
Sites, in units of the cell vectors:
Ge  0.7958  0.2500  0.4483  1 B 2.14
Ge  0.2042  0.7500  0.5517  1 B 2.14
B  0.5313  0.2500  0.0697  2 B 1.71
B  0.4687  0.7500  0.9303  2 B 1.71
Ga  0.7947  0.2500  0.8766  1 B 2.17
Ga  0.2053  0.7500  0.1234  1 B 2.17



ii | A relaxed structure of GaGeB. Source: the Alexandria database, functional PBE-GGA.

Lattice parameters (Å, degrees): 5.7463 3.0662 5.7599 90.00 110.60 90.00
Last column: nearest neighbours and their distance in Å.
Sites, in units of the cell vectors:
Ge  0.5769  0.5000  0.7331  1 B 2.15
Ge  0.1790  0.5000  0.9917  1 B 2.14
B  0.9006  0.5000  0.6286  2 B 1.70
B  0.8608  0.0000  0.4933  2 B 1.70
Ga  0.1424  0.5000  0.4108  3 B 2.17-2.40
Ga  0.6000  0.0000  0.1171  1 B 2.16



iii | A relaxed structure of GaGeB. Source: the Alexandria database, functional PBE-GGA.

Lattice parameters (Å, degrees): 3.4253 5.5684 5.6410 90.79 104.72 103.03
Last column: nearest neighbours and their distance in Å.
Sites, in units of the cell vectors:
Ge  0.0143  0.2447  0.7526  2 B 2.09
Ge  0.9857  0.7553  0.2474  2 B 2.09
B  0.4935  0.6056  0.3965  1 B 1.67
B  0.5065  0.3944  0.6035  1 B 1.67
Ga  0.2015  0.2230  0.2192  2 B 2.24-2.25
Ga  0.7985  0.7770  0.7808  2 B 2.24-2.25



Most stable: i (next structure +4.2 kJ/mol of atoms)



i | A relaxed structure of GaGeB. Source: the Alexandria database, functional PBE-GGA.

Lattice parameters (Å, degrees): 3.4334 5.7869 5.8586 62.11 72.66 72.53
Last column: nearest neighbours and their distance in Å.
Sites, in units of the cell vectors:
Ge  0.5703  0.6119  0.2487  2 B 2.08
Ge  0.4297  0.3881  0.7513  2 B 2.08
B  0.0277  0.8393  0.1054  1 B 1.67
B  0.9723  0.1607  0.8946  1 B 1.67
Ga  0.2197  0.8714  0.6873  2 B 2.27-2.33, 1 Ge 2.54
Ga  0.7803  0.1286  0.3127  2 B 2.27-2.33, 1 Ge 2.54



ii | A relaxed structure of GaGeB. Source: the Alexandria database, functional PBE-GGA.

Lattice parameters (Å, degrees): 3.0353 11.0169 5.7471 90.00 96.56 90.00
Last column: nearest neighbours and their distance in Å.
Sites, in units of the cell vectors:
Ge  0.7376  0.2066  0.3109  1 B 2.18
Ge  0.2624  0.2066  0.6891  1 B 2.18
Ge  0.7376  0.7066  0.8109  1 B 2.18
Ge  0.2624  0.7066  0.1891  1 B 2.18
B  0.7656  0.3567  0.0658  2 B 1.69-1.70
B  0.2344  0.3567  0.9342  2 B 1.69-1.70
B  0.7656  0.8567  0.5658  2 B 1.69-1.70
B  0.2344  0.8567  0.4342  2 B 1.69-1.70
Ga  0.6641  0.9774  0.2197  3 B 2.31-2.41, 1 Ge 2.58
Ga  0.3359  0.9774  0.7803  3 B 2.31-2.41, 1 Ge 2.58
Ga  0.6641  0.4774  0.7197  3 B 2.31-2.41, 1 Ge 2.58
Ga  0.3359  0.4774  0.2803  3 B 2.31-2.41, 1 Ge 2.58



iii | A relaxed structure of GaGeB. Source: the Alexandria database, functional PBE-GGA.

Lattice parameters (Å, degrees): 5.7465 3.0709 5.7993 90.00 111.63 90.00
Last column: nearest neighbours and their distance in Å.
Sites, in units of the cell vectors:
Ge  0.4384  0.0000  0.8448  1 B 2.14
Ge  0.3308  0.5000  0.4350  1 B 2.17
B  0.8111  0.0000  0.1140  2 B 1.70
B  0.9453  0.5000  0.1772  2 B 1.70
Ga  0.0183  0.0000  0.8747  1 B 2.14
Ga  0.7158  0.0000  0.4395  1 B 2.15



Most stable: iii (next structure +1.4 kJ/mol of atoms)



i | A relaxed structure of GaGe3B. Source: the Alexandria database, functional PBE-GGA.

Lattice parameters (Å, degrees): 4.8913 4.8913 4.8913 90.00 90.00 90.00
Last column: nearest neighbours and their distance in Å.
Sites, in units of the cell vectors:
Ge  0.0000  0.5000  0.0000  2 Ga 2.45
Ge  0.0000  0.0000  0.5000  2 Ga 2.45
Ge  0.5000  0.0000  0.0000  2 Ga 2.45
B  0.5000  0.5000  0.5000  12 Ge 3.46
Ga  0.0000  0.0000  0.0000  6 Ge 2.45



ii | A relaxed structure of GaGe3B. Source: the Alexandria database, functional PBE-GGA.

Lattice parameters (Å, degrees): 4.4418 4.4418 4.4418 90.00 90.00 90.00
Last column: nearest neighbours and their distance in Å.
Sites, in units of the cell vectors:
Ge  0.0000  0.5000  0.0000  2 B 2.22
Ge  0.0000  0.0000  0.5000  2 B 2.22
Ge  0.5000  0.0000  0.0000  2 B 2.22
B  0.0000  0.0000  0.0000  6 Ge 2.22
Ga  0.5000  0.5000  0.5000  12 Ge 3.14



Most stable: ii (next structure +84.3 kJ/mol of atoms)